The following is a PBE-GGA calculation of a relaxed CsBa2TlF8 crystal, from Alexandria via LeMat-Bulk.

Structure (CIF):
```
data_CsBa2TlF8
_chemical_formula_sum 'Cs1 Ba2 Tl1 F8'
_symmetry_space_group_name_H-M 'P 1'
_symmetry_Int_Tables_number 1
_cell_length_a 4.618
_cell_length_b 8.680
_cell_length_c 6.117
_cell_angle_alpha 90.00
_cell_angle_beta 96.93
_cell_angle_gamma 90.00
loop_
_symmetry_equiv_pos_as_xyz
'x,y,z'
loop_
_atom_site_label
_atom_site_type_symbol
_atom_site_fract_x
_atom_site_fract_y
_atom_site_fract_z
Cs1 Cs 0.000 0.000 0.000
Ba1 Ba 0.500 0.255 0.500
Ba2 Ba 0.500 0.745 0.500
Tl1 Tl 0.000 0.500 0.000
F1 F 0.044 0.309 0.757
F2 F 0.044 0.691 0.757
F3 F 0.426 0.500 0.214
F4 F 0.450 0.000 0.715
F5 F 0.550 0.000 0.285
F6 F 0.574 0.500 0.786
F7 F 0.956 0.309 0.243
F8 F 0.956 0.691 0.243
```

Properties
- formation energy (no corrections) (eV/atom) = -2.99
- calculated density (g/cm3) = 5.2